# TaSeBr2

A geometry-optimized TaSeBr2 structure (PBE-GGA, Alexandria).

Properties
- symmetry = No. 225
- polymorph energy (0 for the lowest one) (meV per atom) = 1278
- V (Å³/cell) = 79.27
- formation energy from raw total energies (meV/atom) = 601

a b c (Å): 4.822 4.822 4.822
angles (deg): 60.00 60.00 60.00
Fractional positions:
Br1 0.250 0.250 0.250
Br2 0.750 0.750 0.750
Se1 0.000 0.000 0.000
Ta1 0.500 0.500 0.500